a:
# Sc2TlTc

A relaxed Sc2TlTc crystal (PBE, Alexandria).

Results
For the density of states at the Fermi level, the calculation gives 6.2 states/eV/f.u.

Structure (CIF):
```
data_Sc2TlTc
_space_group_name_H-M_alt 'C m m 2'
_space_group_IT_number 35
_space_group_name_Hall 'C 2 -2'
_cell_length_a 3.4808
_cell_length_b 5.1454
_cell_length_c 9.4856
_cell_angle_alpha 90.00
_cell_angle_beta 90.00
_cell_angle_gamma 90.00
loop_
_atom_site_label
_atom_site_type_symbol
_atom_site_fract_x
_atom_site_fract_y
_atom_site_fract_z
Sc1 Sc 0.0000 0.0000 0.0000
Sc2 Sc 0.0000 0.5000 0.2855
Tl1 Tl 0.0000 0.5000 0.7292
Tc1 Tc 0.0000 0.0000 0.4918
```

b:
# Sc2TlTc

A relaxed Sc2TlTc crystal (PBE, Alexandria).

Results
For the density of states at the Fermi level, the calculation gives 6.9 states/eV/f.u.

Structure (CIF):
```
data_Sc2TlTc
_space_group_name_H-M_alt 'F -4 3 m'
_space_group_IT_number 216
_space_group_name_Hall 'F -4 2 3'
_cell_length_a 6.7796
_cell_length_b 6.7796
_cell_length_c 6.7796
_cell_angle_alpha 90.00
_cell_angle_beta 90.00
_cell_angle_gamma 90.00
loop_
_atom_site_label
_atom_site_type_symbol
_atom_site_fract_x
_atom_site_fract_y
_atom_site_fract_z
Sc1 Sc 0.0000 0.0000 0.0000
Sc2 Sc 0.2500 0.2500 0.2500
Tl1 Tl 0.2500 0.2500 0.7500
Tc1 Tc 0.0000 0.0000 0.5000
```

Short version: b, a, most stable first.

a:
# Nd12Sm7Th

A relaxed Nd12Sm7Th crystal (PBE, Alexandria).

Results
For the density of states at the Fermi level, the calculation gives 30.0 states/eV/f.u.

Structure (CIF):
```
data_Nd12Sm7Th
_space_group_name_H-M_alt 'I m -3 m'
_space_group_IT_number 229
_space_group_name_Hall '-I 4 2 3'
_cell_length_a 11.6217
_cell_length_b 11.6217
_cell_length_c 11.6217
_cell_angle_alpha 90.00
_cell_angle_beta 90.00
_cell_angle_gamma 90.00
loop_
_atom_site_label
_atom_site_type_symbol
_atom_site_fract_x
_atom_site_fract_y
_atom_site_fract_z
Nd1 Nd 0.0000 0.2420 0.2420
Sm1 Sm 0.0000 0.0000 0.5000
Sm2 Sm 0.2500 0.2500 0.2500
Th1 Th 0.0000 0.0000 0.0000
```

b:
# Nd12Sm7Th

A relaxed Nd12Sm7Th crystal (PBE, Alexandria).

Results
For the density of states at the Fermi level, the calculation gives 28.5 states/eV/f.u.

Structure (CIF):
```
data_Nd12Sm7Th
_space_group_name_H-M_alt 'R -3 m'
_space_group_IT_number 166
_space_group_name_Hall '-R 3 2"'
_cell_length_a 13.6921
_cell_length_b 13.6921
_cell_length_c 12.7768
_cell_angle_alpha 90.00
_cell_angle_beta 90.00
_cell_angle_gamma 120.00
loop_
_atom_site_label
_atom_site_type_symbol
_atom_site_fract_x
_atom_site_fract_y
_atom_site_fract_z
Nd1 Nd 0.0000 0.2583 0.0000
Nd2 Nd 0.0460 0.5230 0.1146
Sm1 Sm 0.0000 0.0000 0.5000
Sm2 Sm 0.0871 0.1742 0.7670
Th1 Th 0.0000 0.0000 0.0000
```

Short version: b, a, most stable first.

a:
# BC3

A relaxed BC3 crystal (PBE, Alexandria).

Results
For the density of states at the Fermi level, the calculation gives 0.7 states/eV/f.u.

Structure (CIF):
```
data_BC3
_space_group_name_H-M_alt 'C 1 m 1'
_space_group_IT_number 8
_space_group_name_Hall 'C -2y'
_cell_length_a 8.6009
_cell_length_b 2.5948
_cell_length_c 7.5047
_cell_angle_alpha 90.00
_cell_angle_beta 115.61
_cell_angle_gamma 90.00
loop_
_atom_site_label
_atom_site_type_symbol
_atom_site_fract_x
_atom_site_fract_y
_atom_site_fract_z
B1 B 0.0000 0.0000 0.0000
B2 B 0.0224 0.0000 0.5473
B3 B 0.2190 0.0000 0.2876
C1 C 0.0183 0.5000 0.4045
C2 C 0.0296 0.5000 0.9090
C3 C 0.1864 0.5000 0.3829
C4 C 0.1937 0.0000 0.7529
C5 C 0.1936 0.5000 0.8707
C6 C 0.3505 0.5000 0.5879
C7 C 0.3531 0.0000 0.7061
C8 C 0.3573 0.5000 0.0827
C9 C 0.3589 0.0000 0.1988
```

b:
# BC3

A relaxed BC3 crystal (PBE, Alexandria).

Results
For the density of states at the Fermi level, the calculation gives 0.2 states/eV/f.u.

Structure (CIF):
```
data_BC3
_space_group_name_H-M_alt 'P 1 m 1'
_space_group_IT_number 6
_space_group_name_Hall 'P -2y'
_cell_length_a 4.5659
_cell_length_b 2.5893
_cell_length_c 6.3550
_cell_angle_alpha 90.00
_cell_angle_beta 90.29
_cell_angle_gamma 90.00
loop_
_atom_site_label
_atom_site_type_symbol
_atom_site_fract_x
_atom_site_fract_y
_atom_site_fract_z
B1 B 0.0000 0.0000 0.0000
B2 B 0.0011 0.0000 0.3421
B3 B 0.1478 0.5000 0.6220
C1 C 0.1777 0.5000 0.3610
C2 C 0.3404 0.0000 0.7193
C3 C 0.3438 0.0000 0.9607
C4 C 0.4996 0.5000 0.2928
C5 C 0.5042 0.5000 0.0449
C6 C 0.6484 0.0000 0.6264
C7 C 0.6541 0.0000 0.3793
C8 C 0.8125 0.5000 0.7088
C9 C 0.8174 0.5000 0.9547
```

Short version: b, a, most stable first.

a:
# BaLa2Cu

A relaxed BaLa2Cu crystal (PBE, Alexandria).

Results
For the density of states at the Fermi level, the calculation gives 7.2 states/eV/f.u.

Structure (CIF):
```
data_BaLa2Cu
_space_group_name_H-M_alt 'F -4 3 m'
_space_group_IT_number 216
_space_group_name_Hall 'F -4 2 3'
_cell_length_a 7.9502
_cell_length_b 7.9502
_cell_length_c 7.9502
_cell_angle_alpha 90.00
_cell_angle_beta 90.00
_cell_angle_gamma 90.00
loop_
_atom_site_label
_atom_site_type_symbol
_atom_site_fract_x
_atom_site_fract_y
_atom_site_fract_z
Ba1 Ba 0.0000 0.0000 0.0000
La1 La 0.0000 0.0000 0.5000
La2 La 0.2500 0.2500 0.2500
Cu1 Cu 0.2500 0.2500 0.7500
```

b:
# BaLa2Cu

A relaxed BaLa2Cu crystal (PBE, Alexandria).

Results
For the density of states at the Fermi level, the calculation gives 7.2 states/eV/f.u.

Structure (CIF):
```
data_BaLa2Cu
_space_group_name_H-M_alt 'I -4 m 2'
_space_group_IT_number 119
_space_group_name_Hall 'I -4 -2'
_cell_length_a 4.8977
_cell_length_b 4.8977
_cell_length_c 10.7725
_cell_angle_alpha 90.00
_cell_angle_beta 90.00
_cell_angle_gamma 90.00
loop_
_atom_site_label
_atom_site_type_symbol
_atom_site_fract_x
_atom_site_fract_y
_atom_site_fract_z
Ba1 Ba 0.0000 0.0000 0.0000
La1 La 0.0000 0.0000 0.5000
La2 La 0.0000 0.5000 0.2500
Cu1 Cu 0.0000 0.5000 0.7500
```

Short version: b, a, most stable first.

a:
# Be3C

A relaxed Be3C crystal (PBE, Alexandria).

Results
For the density of states at the Fermi level, the calculation gives 0.6 states/eV/f.u.

Structure (CIF):
```
data_Be3C
_space_group_name_H-M_alt 'C m c m'
_space_group_IT_number 63
_space_group_name_Hall '-C 2c 2'
_cell_length_a 6.9923
_cell_length_b 7.9260
_cell_length_c 2.4650
_cell_angle_alpha 90.00
_cell_angle_beta 90.00
_cell_angle_gamma 90.00
loop_
_atom_site_label
_atom_site_type_symbol
_atom_site_fract_x
_atom_site_fract_y
_atom_site_fract_z
Be1 Be 0.0000 0.2240 0.2500
Be2 Be 0.2426 0.1302 0.7500
C1 C 0.0000 0.4500 0.2500
```

b:
# Be3C

A relaxed Be3C crystal (PBE, Alexandria).

Results
For the density of states at the Fermi level, the calculation gives 1.0 states/eV/f.u.

Structure (CIF):
```
data_Be3C
_space_group_name_H-M_alt 'P 4/m m m'
_space_group_IT_number 123
_space_group_name_Hall '-P 4 2'
_cell_length_a 2.7093
_cell_length_b 2.7093
_cell_length_c 3.9387
_cell_angle_alpha 90.00
_cell_angle_beta 90.00
_cell_angle_gamma 90.00
loop_
_atom_site_label
_atom_site_type_symbol
_atom_site_fract_x
_atom_site_fract_y
_atom_site_fract_z
Be1 Be 0.0000 0.0000 0.0000
Be2 Be 0.5000 0.5000 0.2655
C1 C 0.0000 0.0000 0.5000
```

Short version: a, b, most stable first.

a:
# MnC5

A relaxed MnC5 crystal (PBE, Alexandria).

Results
For the density of states at the Fermi level, the calculation gives 3.6 states/eV/f.u.

Structure (CIF):
```
data_MnC5
_space_group_name_H-M_alt 'F -4 3 m'
_space_group_IT_number 216
_space_group_name_Hall 'F -4 2 3'
_cell_length_a 5.9171
_cell_length_b 5.9171
_cell_length_c 5.9171
_cell_angle_alpha 90.00
_cell_angle_beta 90.00
_cell_angle_gamma 90.00
loop_
_atom_site_label
_atom_site_type_symbol
_atom_site_fract_x
_atom_site_fract_y
_atom_site_fract_z
Mn1 Mn 0.0000 0.0000 0.0000
C1 C 0.0935 0.0935 0.4065
C2 C 0.2500 0.2500 0.7500
```

b:
# MnC5

A relaxed MnC5 crystal (PBE, Alexandria).

Results
For the density of states at the Fermi level, the calculation gives 2.6 states/eV/f.u.

Structure (CIF):
```
data_MnC5
_space_group_name_H-M_alt 'P -6 2 m'
_space_group_IT_number 189
_space_group_name_Hall 'P -6 -2'
_cell_length_a 3.6163
_cell_length_b 3.6163
_cell_length_c 4.2655
_cell_angle_alpha 90.00
_cell_angle_beta 90.00
_cell_angle_gamma 120.00
loop_
_atom_site_label
_atom_site_type_symbol
_atom_site_fract_x
_atom_site_fract_y
_atom_site_fract_z
Mn1 Mn 0.0000 0.0000 0.0000
C1 C 0.0000 0.7689 0.5000
C2 C 0.3333 0.6667 0.0000
```

Short version: b, a, most stable first.

a:
# CsHg3Au

A relaxed CsHg3Au crystal (PBE, Alexandria).

Results
For the density of states at the Fermi level, the calculation gives 0.6 states/eV/f.u.

Structure (CIF):
```
data_CsHg3Au
_space_group_name_H-M_alt 'R -3 m'
_space_group_IT_number 166
_space_group_name_Hall '-R 3 2"'
_cell_length_a 7.7595
_cell_length_b 7.7595
_cell_length_c 19.4711
_cell_angle_alpha 90.00
_cell_angle_beta 90.00
_cell_angle_gamma 120.00
loop_
_atom_site_label
_atom_site_type_symbol
_atom_site_fract_x
_atom_site_fract_y
_atom_site_fract_z
Cs1 Cs 0.0000 0.0000 0.1031
Hg1 Hg 0.0589 0.5294 0.0911
Au1 Au 0.0000 0.0000 0.3022
```

b:
# CsHg3Au

A relaxed CsHg3Au crystal (PBE, Alexandria).

Results
For the density of states at the Fermi level, the calculation gives 2.3 states/eV/f.u.

Structure (CIF):
```
data_CsHg3Au
_space_group_name_H-M_alt 'C m c m'
_space_group_IT_number 63
_space_group_name_Hall '-C 2c 2'
_cell_length_a 8.2109
_cell_length_b 25.8570
_cell_length_c 5.8991
_cell_angle_alpha 90.00
_cell_angle_beta 90.00
_cell_angle_gamma 90.00
loop_
_atom_site_label
_atom_site_type_symbol
_atom_site_fract_x
_atom_site_fract_y
_atom_site_fract_z
Cs1 Cs 0.0000 0.1422 0.2500
Hg1 Hg 0.0000 0.0000 0.0000
Hg2 Hg 0.1700 0.2308 0.7500
Au1 Au 0.0000 0.2728 0.2500
```

Short version: a, b, most stable first.